Th5MgPb5 | GGA-PBE | optimized geometry

```
Th5MgPb5
1.0
7.0450 -3.1922 0.0000
7.0450 3.1922 0.0000
-3.1438 0.0000 8.4438
Th Mg Pb
5 1 5
Direct
0.0000 0.0000 0.0000
0.3319 0.3319 0.1560
0.3490 0.3490 0.6962
0.6510 0.6510 0.3038
0.6681 0.6681 0.8440
0.0000 0.0000 0.5000
0.1587 0.1587 0.8169
0.1745 0.1745 0.3470
0.5000 0.5000 0.5000
0.8255 0.8255 0.6530
0.8413 0.8413 0.1831
```

Results
For the density of states at the Fermi level, the calculation gives 1.177 states/eV/atom. Its space group is C2/m (12). The formation energy is 0.10 eV/atom. As for the raw total energy: -56.09 eV per cell.